La2Sb2Te, relaxed, DFT GGA-PBE; formation energy without anion corrections = -0.9256 eV per atom; final energy = -0.3803 Ry per atom; energy above the lowest structure with this stoichiometry = 181 meV/atom
1.0
8.639 0.000 0.000
0.000 8.639 0.000
0.000 0.000 4.292
La Sb Te
4 4 2
direct
0.163 0.337 0.000
0.337 0.837 0.000
0.663 0.163 0.000
0.837 0.663 0.000
0.140 0.640 0.500
0.360 0.140 0.500
0.640 0.860 0.500
0.860 0.360 0.500
0.000 0.000 0.500
0.500 0.500 0.500